(1)
Density functional theory data (PBE) for crystalline Pm2Nd5SmEr at its relaxed geometry.

```
18
Lattice="-4.402 4.402 8.091 4.402 -4.402 8.091 4.402 4.402 -8.091" Properties=species:S:1:pos:R:3 pbc="T T T"
Pm 5.443 1.041 0.000
Pm 1.041 3.362 0.000
Pm 3.362 1.041 8.091
Pm -1.041 3.362 8.091
Nd 0.000 0.000 0.000
Nd 2.536 1.866 -2.273
Nd 2.536 -1.866 5.819
Nd 2.536 1.866 2.273
Nd 2.536 -1.866 10.364
Nd 0.000 0.000 8.091
Nd 1.866 6.268 -2.273
Nd 1.866 2.536 5.819
Nd 1.866 6.268 2.273
Nd 1.866 2.536 10.364
Sm 0.000 0.000 4.046
Sm 0.000 0.000 12.137
Er 4.402 0.000 4.046
Er 0.000 4.402 4.046
```

Size of the total moment (μB per cell): 0.00
Calculated formation energy (meV/atom): 279
Symmetry: I4/mcm, No. 140


(2)
Density functional theory data (PBE) for crystalline SrC3 at its relaxed geometry.

```
4
Lattice="-1.776 2.791 2.864 1.776 -2.791 2.864 1.776 2.791 -2.864" Properties=species:S:1:pos:R:3 pbc="T T T"
Sr 0.000 0.000 0.000
C 1.776 2.114 0.000
C 0.000 2.791 0.000
C 0.000 0.677 2.864
```

Size of the total moment (μB per cell): 0.00
Calculated formation energy (meV/atom): 1384
E above lowest polymorph (meV/atom): 796
Symmetry: Immm, No. 71


(3)
Density functional theory data (PBE) for crystalline Ce3HfAs4 at its relaxed geometry.

```
16
Lattice="7.130 0.000 0.000 0.000 8.226 0.000 -2.380 0.000 6.700" Properties=species:S:1:pos:R:3 pbc="T T T"
Ce -0.595 1.017 1.675
Ce -1.785 3.064 5.025
Ce -0.595 5.162 1.675
Ce -1.785 7.210 5.025
Ce 2.970 3.068 1.675
Ce 1.780 5.158 5.025
Hf 1.780 1.020 5.025
Hf 2.970 7.206 1.675
As 0.640 3.005 3.414
As 1.831 5.221 0.064
As 1.909 0.951 0.003
As 0.718 7.275 3.353
As 4.031 0.951 3.347
As 2.841 7.275 6.697
As 2.919 3.005 6.636
As 4.109 5.221 3.286
```

Size of the total moment (μB per cell): 3.63
Calculated formation energy (meV/atom): -1309
Symmetry: P2/c, No. 13


(4)
Density functional theory data (PBE) for crystalline CdCo2Mo2 at its relaxed geometry.

```
10
Lattice="7.483 0.000 0.000 0.000 7.483 0.000 0.000 0.000 2.664" Properties=species:S:1:pos:R:3 pbc="T T T"
Cd 0.000 0.000 0.000
Cd 3.742 3.742 0.000
Co 1.266 2.476 1.332
Co 2.476 6.217 1.332
Co 5.008 1.266 1.332
Co 6.217 5.008 1.332
Mo 0.904 4.646 0.000
Mo 2.837 0.904 0.000
Mo 4.646 6.579 0.000
Mo 6.579 2.837 0.000
```

Size of the total moment (μB per cell): 0.00
Calculated formation energy (meV/atom): 294
E above lowest polymorph (meV/atom): 112
Symmetry: P4/mbm, No. 127


(5)
Density functional theory data (PBE) for crystalline Dy2TmGe2 at its relaxed geometry.

```
10
Lattice="7.527 0.000 0.000 0.000 7.527 0.000 0.000 0.000 4.245" Properties=species:S:1:pos:R:3 pbc="T T T"
Dy 1.301 2.463 0.000
Dy 2.463 6.226 0.000
Dy 5.065 1.301 0.000
Dy 6.226 5.065 0.000
Tm 0.000 0.000 2.123
Tm 3.764 3.764 2.123
Ge 0.948 4.712 2.123
Ge 2.816 0.948 2.123
Ge 4.712 6.580 2.123
Ge 6.580 2.816 2.123
```

Size of the total moment (μB per cell): 0.00
Calculated formation energy (meV/atom): -794
E above lowest polymorph (meV/atom): 0
Symmetry: P4/mbm, No. 127


(6)
Density functional theory data (PBE) for crystalline LiPmTl4 at its relaxed geometry.

```
6
Lattice="4.691 0.000 0.000 0.000 4.691 0.000 0.000 0.000 7.956" Properties=species:S:1:pos:R:3 pbc="T T T"
Li 0.000 0.000 0.000
Pm 2.345 2.345 3.978
Tl 0.000 2.345 1.667
Tl 0.000 2.345 6.289
Tl 2.345 0.000 1.667
Tl 2.345 0.000 6.289
```

Size of the total moment (μB per cell): 0.00
Calculated formation energy (meV/atom): -22
E above lowest polymorph (meV/atom): 122
Symmetry: P4/mmm, No. 123


(7)
Density functional theory data (PBE) for crystalline PrZn2PRu2 at its relaxed geometry.

```
6
Lattice="4.390 0.000 0.000 0.000 4.390 0.000 0.000 0.000 5.760" Properties=species:S:1:pos:R:3 pbc="T T T"
Pr 0.000 0.000 0.000
Zn 2.195 2.195 1.283
Zn 2.195 2.195 4.476
P 0.000 0.000 2.880
Ru 0.000 2.195 2.880
Ru 2.195 0.000 2.880
```

Size of the total moment (μB per cell): 0.00
Calculated formation energy (meV/atom): -416
Symmetry: P4/mmm, No. 123


(8)
Density functional theory data (PBE) for crystalline CsAlSe2O8 at its relaxed geometry.

```
12
Lattice="5.026 0.000 0.000 -2.513 4.352 0.000 0.000 0.000 9.222" Properties=species:S:1:pos:R:3 pbc="T T T"
Cs 0.000 0.000 0.000
Al 0.000 0.000 4.611
Se 0.000 2.902 6.277
Se 2.513 1.451 2.945
O -0.592 1.418 5.751
O -0.988 4.156 5.751
O 0.932 1.222 3.471
O 0.000 2.902 7.923
O 2.513 1.451 1.299
O 1.581 3.130 5.751
O 3.501 0.196 3.471
O 3.105 2.934 3.471
```

Size of the total moment (μB per cell): 0.00
Symmetry: P-3, No. 147
Formation energy without anion corrections (kJ per mole of atoms): -131.3